# 1
A plane-wave DFT calculation with GGA-PBE was carried out for an optimized crystal structure of GdEr3C2Se2.

abc: 3.740 3.740 13.211
angles: 90.00 90.00 120.00
Positions (direct):
Gd 0.000 0.000 0.000
Er 0.000 0.000 0.302
Er 0.333 0.667 0.500
Er 0.333 0.667 0.798
C 0.667 0.333 0.402
C 0.667 0.333 0.897
Se 0.000 0.000 0.649
Se 0.333 0.667 0.154

theoretical density: 8.7 g/cm3
SG: No. 156
DFT total energy: -6.6285 eV per atom
spin magnetization: 0.0 μB/f.u.



# 2
A plane-wave DFT calculation with GGA-PBE was carried out for an optimized crystal structure of Gd3ErSn2C2.

abc: 3.641 3.641 16.020
angles: 90.00 90.00 120.00
Positions (direct):
Gd 0.000 0.000 0.000
Gd 0.000 0.000 0.332
Gd 0.667 0.333 0.829
Er 0.667 0.333 0.500
Sn 0.000 0.000 0.662
Sn 0.667 0.333 0.166
C 0.333 0.667 0.418
C 0.333 0.667 0.914

theoretical density: 8.1 g/cm3
SG: No. 156
DFT total energy: -6.1280 eV per atom
spin magnetization: 0.0 μB/f.u.



# 3
A plane-wave DFT calculation with GGA-PBE was carried out for an optimized crystal structure of GdErTeC.

abc: 3.835 3.835 14.056
angles: 90.00 90.00 120.00
Positions (direct):
Gd 0.333 0.667 0.404
Gd 0.667 0.333 0.596
Er 0.333 0.667 0.091
Er 0.667 0.333 0.909
Te 0.333 0.667 0.755
Te 0.667 0.333 0.245
C 0.000 0.000 0.000
C 0.000 0.000 0.500

theoretical density: 8.6 g/cm3
SG: No. 164
DFT total energy: -6.2601 eV per atom
spin magnetization: 0.0 μB/f.u.



# 4
A plane-wave DFT calculation with GGA-PBE was carried out for an optimized crystal structure of GdErTeC.

abc: 3.836 3.836 14.051
angles: 90.00 90.00 120.00
Positions (direct):
Gd 0.000 0.000 0.159
Gd 0.000 0.000 0.841
Er 0.333 0.667 0.346
Er 0.333 0.667 0.654
Te 0.000 0.000 0.500
Te 0.333 0.667 0.000
C 0.667 0.333 0.255
C 0.667 0.333 0.745

theoretical density: 8.6 g/cm3
SG: No. 187
DFT total energy: -6.2596 eV per atom
spin magnetization: 0.0 μB/f.u.



# 5
A plane-wave DFT calculation with GGA-PBE was carried out for an optimized crystal structure of Gd3ErTe2C2.

abc: 3.857 3.857 14.132
angles: 90.00 90.00 120.00
Positions (direct):
Gd 0.000 0.000 0.000
Gd 0.000 0.000 0.315
Gd 0.333 0.667 0.504
Er 0.333 0.667 0.815
Te 0.000 0.000 0.662
Te 0.333 0.667 0.157
C 0.667 0.333 0.410
C 0.667 0.333 0.906

theoretical density: 8.4 g/cm3
SG: No. 156
DFT total energy: -6.2613 eV per atom
spin magnetization: 0.0 μB/f.u.



# 6
A plane-wave DFT calculation with GGA-PBE was carried out for an optimized crystal structure of GdErW2C3.

abc: 6.152 6.152 5.722
angles: 111.83 111.83 31.35
Positions (direct):
Gd 0.000 0.000 0.000
Er 0.220 0.220 0.640
W 0.453 0.453 0.491
W 0.764 0.764 0.143
C 0.358 0.358 0.082
C 0.610 0.610 0.813
C 0.857 0.857 0.551

theoretical density: 11.6 g/cm3
SG: No. 8
DFT total energy: -9.3103 eV per atom
spin magnetization: 0.0 μB/f.u.



# 7
A plane-wave DFT calculation with GGA-PBE was carried out for an optimized crystal structure of Er4GePbC2.

abc: 3.584 3.584 15.334
angles: 90.00 90.00 120.00
Positions (direct):
Er 0.000 0.000 0.149
Er 0.000 0.000 0.851
Er 0.333 0.667 0.322
Er 0.333 0.667 0.678
Ge 0.333 0.667 0.000
Pb 0.000 0.000 0.500
C 0.667 0.333 0.239
C 0.667 0.333 0.761

theoretical density: 9.5 g/cm3
SG: No. 187
DFT total energy: -6.1526 eV per atom
spin magnetization: 0.0 μB/f.u.



# 8
A plane-wave DFT calculation with GGA-PBE was carried out for an optimized crystal structure of Er4TlGeC2.

abc: 3.569 3.569 15.445
angles: 90.00 90.00 120.00
Positions (direct):
Er 0.000 0.000 0.150
Er 0.000 0.000 0.850
Er 0.333 0.667 0.322
Er 0.333 0.667 0.678
Tl 0.000 0.000 0.500
Ge 0.333 0.667 0.000
C 0.667 0.333 0.238
C 0.667 0.333 0.762

theoretical density: 9.5 g/cm3
SG: No. 187
DFT total energy: -5.9206 eV per atom
spin magnetization: 0.3 μB/f.u.



# 9
A plane-wave DFT calculation with GGA-PBE was carried out for an optimized crystal structure of Er3TmGe2C2.

abc: 3.546 3.546 14.802
angles: 90.00 90.00 120.00
Positions (direct):
Er 0.000 0.000 0.000
Er 0.000 0.000 0.320
Er 0.667 0.333 0.819
Tm 0.667 0.333 0.500
Ge 0.000 0.000 0.659
Ge 0.667 0.333 0.160
C 0.333 0.667 0.410
C 0.333 0.667 0.910

theoretical density: 8.7 g/cm3
SG: No. 156
DFT total energy: -6.2462 eV per atom
spin magnetization: 0.0 μB/f.u.



# 10
A plane-wave DFT calculation with GGA-PBE was carried out for an optimized crystal structure of ErTm3Ge2C2.

abc: 3.535 3.535 14.764
angles: 90.00 90.00 120.00
Positions (direct):
Er 0.000 0.000 0.000
Tm 0.000 0.000 0.680
Tm 0.667 0.333 0.180
Tm 0.667 0.333 0.500
Ge 0.000 0.000 0.340
Ge 0.667 0.333 0.839
C 0.333 0.667 0.091
C 0.333 0.667 0.590

theoretical density: 8.8 g/cm3
SG: No. 156
DFT total energy: -6.2351 eV per atom
spin magnetization: 0.0 μB/f.u.



# 11
A plane-wave DFT calculation with GGA-PBE was carried out for an optimized crystal structure of ErH9C4N2O8.

abc: 17.771 6.508 7.318
angles: 90.00 90.00 90.00
Positions (direct):
Er 0.102 0.200 0.000
Er 0.398 0.200 0.500
Er 0.602 0.800 0.000
Er 0.898 0.800 0.500
H 0.038 0.585 0.751
H 0.056 0.077 0.439
H 0.110 0.706 0.508
H 0.137 0.732 0.169
H 0.152 0.433 0.404
H 0.164 0.716 0.689
H 0.170 0.381 0.623
H 0.241 0.465 0.487
H 0.244 0.895 0.364
H 0.256 0.895 0.864
H 0.259 0.465 0.987
H 0.330 0.381 0.123
H 0.336 0.716 0.189
H 0.348 0.433 0.904
H 0.363 0.732 0.669
H 0.390 0.706 0.008
H 0.444 0.077 0.939
H 0.462 0.585 0.251
H 0.538 0.415 0.751
H 0.556 0.923 0.439
H 0.610 0.294 0.508
H 0.637 0.268 0.169
H 0.652 0.567 0.404
H 0.664 0.284 0.689
H 0.670 0.619 0.623
H 0.741 0.535 0.487
H 0.744 0.105 0.364
H 0.756 0.105 0.864
H 0.759 0.535 0.987
H 0.830 0.619 0.123
H 0.836 0.284 0.189
H 0.848 0.567 0.904
H 0.863 0.268 0.669
H 0.890 0.294 0.008
H 0.944 0.923 0.939
H 0.962 0.415 0.251
C 0.014 0.477 0.313
C 0.045 0.082 0.587
C 0.137 0.707 0.019
C 0.234 0.053 0.316
C 0.266 0.053 0.816
C 0.363 0.707 0.519
C 0.455 0.082 0.087
C 0.486 0.477 0.813
C 0.514 0.523 0.313
C 0.545 0.918 0.587
C 0.637 0.293 0.019
C 0.734 0.947 0.316
C 0.766 0.947 0.816
C 0.863 0.293 0.519
C 0.955 0.918 0.087
C 0.986 0.523 0.813
N 0.166 0.693 0.550
N 0.184 0.480 0.517
N 0.316 0.480 0.017
N 0.334 0.693 0.050
N 0.666 0.307 0.550
N 0.684 0.520 0.517
N 0.816 0.520 0.017
N 0.834 0.307 0.050
O 0.008 0.616 0.433
O 0.009 0.022 0.149
O 0.076 0.401 0.261
O 0.088 0.193 0.685
O 0.121 0.856 0.917
O 0.154 0.529 0.958
O 0.174 0.084 0.227
O 0.220 0.193 0.858
O 0.280 0.193 0.358
O 0.326 0.084 0.727
O 0.346 0.529 0.458
O 0.379 0.856 0.417
O 0.412 0.193 0.185
O 0.424 0.401 0.761
O 0.491 0.022 0.649
O 0.492 0.616 0.933
O 0.508 0.384 0.433
O 0.509 0.978 0.149
O 0.576 0.599 0.261
O 0.588 0.807 0.685
O 0.621 0.144 0.917
O 0.654 0.471 0.958
O 0.674 0.916 0.227
O 0.720 0.807 0.858
O 0.780 0.807 0.358
O 0.826 0.916 0.727
O 0.846 0.471 0.458
O 0.879 0.144 0.417
O 0.912 0.807 0.185
O 0.924 0.599 0.761
O 0.991 0.978 0.649
O 0.992 0.384 0.933

theoretical density: 3.0 g/cm3
SG: No. 29
DFT total energy: -6.3416 eV per atom
spin magnetization: 0.0 μB/f.u.



# 12
A plane-wave DFT calculation with GGA-PBE was carried out for an optimized crystal structure of ErH7C8SO9.

abc: 6.229 8.486 10.490
angles: 90.86 100.01 108.02
Positions (direct):
Er 0.155 0.248 0.117
Er 0.845 0.752 0.883
H 0.188 0.153 0.556
H 0.305 0.958 0.110
H 0.341 0.640 0.788
H 0.353 0.640 0.582
H 0.390 0.590 0.354
H 0.416 0.490 0.852
H 0.464 0.905 0.819
H 0.536 0.095 0.181
H 0.584 0.510 0.148
H 0.610 0.410 0.646
H 0.647 0.360 0.418
H 0.659 0.360 0.212
H 0.695 0.042 0.890
H 0.812 0.847 0.444
C 0.016 0.754 0.656
C 0.023 0.223 0.702
C 0.054 0.203 0.576
C 0.078 0.746 0.527
C 0.134 0.698 0.271
C 0.156 0.655 0.136
C 0.246 0.678 0.503
C 0.268 0.651 0.375
C 0.732 0.349 0.625
C 0.754 0.322 0.497
C 0.844 0.345 0.864
C 0.866 0.302 0.729
C 0.922 0.254 0.473
C 0.946 0.797 0.424
C 0.977 0.777 0.298
C 0.984 0.246 0.344
S 0.216 0.164 0.823
S 0.784 0.836 0.177
O 0.087 0.022 0.888
O 0.145 0.736 0.761
O 0.148 0.759 0.050
O 0.176 0.224 0.337
O 0.180 0.516 0.114
O 0.315 0.308 0.922
O 0.378 0.078 0.138
O 0.382 0.128 0.757
O 0.468 0.589 0.802
O 0.532 0.411 0.198
O 0.618 0.872 0.243
O 0.622 0.922 0.862
O 0.685 0.692 0.078
O 0.820 0.484 0.886
O 0.824 0.776 0.663
O 0.852 0.241 0.950
O 0.855 0.264 0.239
O 0.913 0.978 0.112

theoretical density: 2.9 g/cm3
SG: No. 2
DFT total energy: -6.7576 eV per atom
spin magnetization: 0.0 μB/f.u.